Record 1
VASP calculation (PBE) on a geometry-optimized KCo2NiGe structure.

## Properties
DOS(E_F), states/eV per cell: 6.3
Total magnetic moment, Bohr magnetons per cell: 2.790
Uncorrected energy, eV/cell: -14.6

Cell and atoms, written as CIF:
```
data_KCo2NiGe
_cell_length_a 4.518
_cell_length_b 4.518
_cell_length_c 4.519
_cell_angle_alpha 90.00
_cell_angle_beta 90.00
_cell_angle_gamma 90.00
_symmetry_space_group_name_H-M 'P 1'
_symmetry_Int_Tables_number 1
_symmetry_space_group_name_Hall 'P 1'
loop_
_atom_site_label
_atom_site_type_symbol
_atom_site_fract_x
_atom_site_fract_y
_atom_site_fract_z
K1 K 0.000 0.000 0.000
Co1 Co 0.000 0.500 0.000
Co2 Co 0.500 0.000 0.000
Ni1 Ni 0.000 0.000 0.500
Ge1 Ge 0.500 0.500 0.500
```

***

Record 2
VASP calculation (PBE) on a geometry-optimized HfTaTi structure.

## Properties
DOS(E_F), states/eV per cell: 3.1
Total magnetic moment, Bohr magnetons per cell: 0.000
Uncorrected energy, eV/cell: -29.5

Cell and atoms, written as CIF:
```
data_HfTaTi
_cell_length_a 4.777
_cell_length_b 4.777
_cell_length_c 2.936
_cell_angle_alpha 90.00
_cell_angle_beta 90.00
_cell_angle_gamma 120.00
_symmetry_space_group_name_H-M 'P 1'
_symmetry_Int_Tables_number 1
_symmetry_space_group_name_Hall 'P 1'
loop_
_atom_site_label
_atom_site_type_symbol
_atom_site_fract_x
_atom_site_fract_y
_atom_site_fract_z
Hf1 Hf 0.000 0.000 0.000
Ta1 Ta 0.667 0.333 0.493
Ti1 Ti 0.333 0.667 0.506
```

***

Record 3
VASP calculation (PBE) on a geometry-optimized Pu2SN2 structure.

## Properties
DOS(E_F), states/eV per cell: 13.1
Raw formation energy, eV per atom: -1.395
Total magnetic moment, Bohr magnetons per cell: 8.000
Uncorrected energy, eV/cell: -56.4

Cell and atoms, written as CIF:
```
data_Pu2SN2
_cell_length_a 6.760
_cell_length_b 6.760
_cell_length_c 4.103
_cell_angle_alpha 105.16
_cell_angle_beta 105.16
_cell_angle_gamma 32.39
_symmetry_space_group_name_H-M 'P 1'
_symmetry_Int_Tables_number 1
_symmetry_space_group_name_Hall 'P 1'
loop_
_atom_site_label
_atom_site_type_symbol
_atom_site_fract_x
_atom_site_fract_y
_atom_site_fract_z
Pu1 Pu 0.164 0.164 0.175
Pu2 Pu 0.836 0.836 0.825
S1 S 0.500 0.500 0.000
N1 N 0.237 0.237 0.739
N2 N 0.763 0.763 0.261
```

***

Q: Look up the DOS(E_F) of the second one.
A: 3.1 states/eV per cell

***

Q: Which of these has the highest total magnetic moment?
A: Pu2SN2

***

Q: The lowest DOS(E_F) belongs to which entry?
A: HfTaTi